(1)
Compound: Ca3SnHg4
Source: Alexandria
Functional: PBE
Structure: optimized geometry

```
Ca3SnHg4
1.0
10.238 0.000 0.000
0.000 8.036 0.000
0.000 0.000 5.117
Ca Sn Hg
6 2 8
direct
0.000 0.000 0.000 Ca
0.250 0.000 0.499 Ca
0.250 0.500 0.499 Ca
0.500 0.000 0.000 Ca
0.750 0.000 0.501 Ca
0.750 0.500 0.501 Ca
0.000 0.500 0.000 Sn
0.500 0.500 0.000 Sn
0.000 0.247 0.500 Hg
0.000 0.753 0.500 Hg
0.250 0.247 0.999 Hg
0.250 0.753 0.999 Hg
0.500 0.247 0.500 Hg
0.500 0.753 0.500 Hg
0.750 0.247 0.001 Hg
0.750 0.753 0.001 Hg
```

Values from the calculation:
DOS(E_F): 7.3 states/eV per cell
distance to the lowest polymorph of the same formula: 0 meV/atom
space-group type: Pmma (51)
crystal system: orthorhombic
energy of formation from the pure elements: -0.476 eV/atom
V: 210.5 Å³/f.u.
uncorrected energy: -30.05 eV/cell

(2)
Compound: Ca2Sn2Hg3
Source: Alexandria
Functional: PBE
Structure: optimized geometry

```
Ca2Sn2Hg3
1.0
11.680 0.000 0.000
0.000 4.747 0.000
-0.592 0.000 6.979
Ca Sn Hg
4 4 6
direct
0.113 0.000 0.305 Ca
0.387 0.500 0.695 Ca
0.613 0.500 0.305 Ca
0.887 0.000 0.695 Ca
0.100 0.500 0.645 Sn
0.400 0.000 0.355 Sn
0.600 0.000 0.645 Sn
0.900 0.500 0.355 Sn
0.000 0.500 0.000 Hg
0.226 0.000 0.841 Hg
0.274 0.500 0.159 Hg
0.500 0.000 0.000 Hg
0.726 0.500 0.841 Hg
0.774 0.000 0.159 Hg
```

Values from the calculation:
DOS(E_F): 6.2 states/eV per cell
distance to the lowest polymorph of the same formula: 9 meV/atom
space-group type: C2/m (12)
crystal system: monoclinic
energy of formation from the pure elements: -0.359 eV/atom
V: 193.5 Å³/f.u.
uncorrected energy: -30.85 eV/cell

(3)
Compound: CaSnHg
Source: Alexandria
Functional: PBE
Structure: optimized geometry

```
CaSnHg
1.0
4.851 0.000 0.000
-2.426 4.201 0.000
0.000 0.000 16.196
Ca Sn Hg
4 4 4
direct
0.000 0.000 0.000 Ca
0.000 0.000 0.250 Ca
0.000 0.000 0.500 Ca
0.000 0.000 0.750 Ca
0.333 0.667 0.105 Sn
0.333 0.667 0.395 Sn
0.667 0.333 0.605 Sn
0.667 0.333 0.895 Sn
0.333 0.667 0.649 Hg
0.333 0.667 0.851 Hg
0.667 0.333 0.149 Hg
0.667 0.333 0.351 Hg
```

Values from the calculation:
DOS(E_F): 5.4 states/eV per cell
space-group type: P6_3/mmc (194)
crystal system: hexagonal
energy of formation from the pure elements: -0.456 eV/atom
V: 82.5 Å³/f.u.
uncorrected energy: -30.70 eV/cell

(4)
Compound: Ca2SnHg2
Source: Alexandria
Functional: PBE
Structure: optimized geometry

```
Ca2SnHg2
1.0
8.641 0.000 0.000
0.000 8.641 0.000
0.000 0.000 3.894
Ca Sn Hg
4 2 4
direct
0.158 0.342 0.000 Ca
0.342 0.842 0.000 Ca
0.658 0.158 0.000 Ca
0.842 0.658 0.000 Ca
0.000 0.000 0.000 Sn
0.500 0.500 0.000 Sn
0.139 0.639 0.500 Hg
0.361 0.139 0.500 Hg
0.639 0.861 0.500 Hg
0.861 0.361 0.500 Hg
```

Values from the calculation:
DOS(E_F): 8.8 states/eV per cell
distance to the lowest polymorph of the same formula: 154 meV/atom
space-group type: P4/mbm (127)
crystal system: tetragonal
energy of formation from the pure elements: -0.346 eV/atom
V: 145.4 Å³/f.u.
uncorrected energy: -20.68 eV/cell

(5)
Compound: Ca2SnHg2
Source: Alexandria
Functional: PBE
Structure: optimized geometry

```
Ca2SnHg2
1.0
5.864 -2.311 0.000
5.864 2.311 0.000
-4.885 0.000 10.410
Ca Sn Hg
4 2 4
direct
0.008 0.008 0.336 Ca
0.185 0.185 0.103 Ca
0.815 0.815 0.897 Ca
0.992 0.992 0.664 Ca
0.288 0.288 0.679 Sn
0.712 0.712 0.321 Sn
0.362 0.362 0.446 Hg
0.456 0.456 0.109 Hg
0.544 0.544 0.891 Hg
0.638 0.638 0.554 Hg
```

Values from the calculation:
DOS(E_F): 4.5 states/eV per cell
distance to the lowest polymorph of the same formula: 0 meV/atom
space-group type: C2/m (12)
crystal system: monoclinic
energy of formation from the pure elements: -0.501 eV/atom
V: 141.1 Å³/f.u.
uncorrected energy: -22.22 eV/cell

(6)
Compound: Ca3Sn4Hg3
Source: Alexandria
Functional: PBE
Structure: optimized geometry

```
Ca3Sn4Hg3
1.0
-5.191 5.191 5.191
5.191 -5.191 5.191
5.191 5.191 -5.191
Ca Sn Hg
6 8 6
direct
0.125 0.750 0.875 Ca
0.250 0.625 0.375 Ca
0.375 0.250 0.625 Ca
0.625 0.375 0.250 Ca
0.750 0.875 0.125 Ca
0.875 0.125 0.750 Ca
0.000 0.313 0.500 Sn
0.000 0.813 0.500 Sn
0.187 0.187 0.187 Sn
0.313 0.500 0.000 Sn
0.500 0.000 0.313 Sn
0.500 0.000 0.813 Sn
0.687 0.687 0.687 Sn
0.813 0.500 0.000 Sn
0.125 0.875 0.250 Hg
0.250 0.125 0.875 Hg
0.375 0.625 0.750 Hg
0.625 0.750 0.375 Hg
0.750 0.375 0.625 Hg
0.875 0.250 0.125 Hg
```

Values from the calculation:
DOS(E_F): 13.4 states/eV per cell
space-group type: I-43d (220)
crystal system: cubic
energy of formation from the pure elements: -0.345 eV/atom
V: 279.8 Å³/f.u.
uncorrected energy: -52.75 eV/cell

(7)
Compound: CaSnHg
Source: Alexandria
Functional: PBE
Structure: optimized geometry

```
CaSnHg
1.0
5.365 0.000 0.000
0.000 9.276 0.000
0.000 0.000 6.445
Ca Sn Hg
4 4 4
direct
0.000 0.167 0.250 Ca
0.000 0.833 0.750 Ca
0.500 0.333 0.750 Ca
0.500 0.667 0.250 Ca
0.000 0.500 0.000 Sn
0.000 0.500 0.500 Sn
0.500 0.000 0.000 Sn
0.500 0.000 0.500 Sn
0.000 0.167 0.750 Hg
0.000 0.833 0.250 Hg
0.500 0.333 0.250 Hg
0.500 0.667 0.750 Hg
```

Values from the calculation:
DOS(E_F): 5.6 states/eV per cell
space-group type: Cmcm (63)
crystal system: orthorhombic
energy of formation from the pure elements: -0.449 eV/atom
V: 80.2 Å³/f.u.
uncorrected energy: -30.61 eV/cell

(8)
Compound: Ca3SnHg
Source: Alexandria
Functional: PBE
Structure: optimized geometry

```
Ca3SnHg
1.0
5.963 0.000 0.000
0.000 5.963 0.000
0.000 0.000 5.963
Ca Sn Hg
3 1 1
direct
0.000 0.000 0.500 Ca
0.000 0.500 0.000 Ca
0.500 0.000 0.000 Ca
0.000 0.000 0.000 Sn
0.500 0.500 0.500 Hg
```

Values from the calculation:
DOS(E_F): 5.5 states/eV per cell
distance to the lowest polymorph of the same formula: 367 meV/atom
space-group type: Pm-3m (221)
crystal system: cubic
energy of formation from the pure elements: -0.168 eV/atom
V: 212.0 Å³/f.u.
uncorrected energy: -11.15 eV/cell